--- P ---
KCr2Br | the Alexandria database | PBE-GGA | optimized geometry; size of the total moment = 10.1 μB per cell; symmetry = No. 216
1.0
-0.7945 -4.0366 -3.5742
-2.0775 -4.7521 1.6739
-5.0646 -1.4149 -1.4310
Cr Br K
2 1 1
direct
0.2500 0.2500 0.2500
0.0000 0.0000 0.0000
0.5000 0.5000 0.5000
0.7500 0.7500 0.7500


--- Q ---
KCr2Br | the Alexandria database | PBE-GGA | optimized geometry; size of the total moment = 10.1 μB per cell; symmetry = No. 139
1.0
7.4728 0.0003 0.0000
4.9647 5.5851 0.0000
-6.2188 -2.7927 3.0610
K Cr Br
1 2 1
direct
0.2500 0.7500 0.5000
0.0000 0.0000 0.0000
0.5000 0.5000 0.0000
0.7500 0.2500 0.5000


Order from most stable to least stable according to the calculation: Q, P


--- P ---
KCr2Br | the Alexandria database | PBE-GGA | optimized geometry; size of the total moment = 0.1 μB per cell; symmetry = No. 99
1.0
-0.5477 -1.2123 3.2873
3.4866 0.0993 0.6175
-0.6564 7.2043 2.5476
K Cr Br
1 2 1
direct
0.0000 0.0000 0.5099
0.5000 0.5000 0.1535
0.0000 0.0000 0.0492
0.5000 0.5000 0.7874


--- Q ---
KCr2Br | the Alexandria database | PBE-GGA | optimized geometry; size of the total moment = 9.5 μB per cell; symmetry = No. 166
1.0
10.3793 0.0086 0.0051
9.7645 3.5190 0.0051
9.7645 1.7100 3.0756
Br Cr K
1 2 1
direct
0.7500 0.7500 0.7500
0.4824 0.4824 0.4824
0.0176 0.0176 0.0176
0.2500 0.2500 0.2500


--- R ---
KCr2Br | the Alexandria database | PBE-GGA | optimized geometry; size of the total moment = 10.0 μB per cell; symmetry = No. 10
1.0
6.5221 0.0000 0.0000
0.0000 3.6394 0.1272
0.0000 -0.1718 4.9935
Cr Br K
2 1 1
direct
0.0000 0.5151 0.5042
0.0000 0.9849 0.9958
0.5000 0.7500 0.7500
0.5000 0.2500 0.2500


Order from most stable to least stable according to the calculation: P, R, Q